A geometry-optimized Os3C5 structure. Source: Alexandria via LeMat-Bulk, functional PBE.

Cell: 5.982 5.982 5.162 Å, 90.00 90.00 120.00°
Positions (direct):
C 0.000 0.743 0.750
C 0.667 0.333 0.500
C 0.333 0.667 0.000
C 0.257 0.000 0.250
C 0.667 0.333 0.000
C 0.000 0.257 0.250
C 0.743 0.743 0.250
C 0.257 0.257 0.750
C 0.333 0.667 0.500
C 0.743 0.000 0.750
Os 0.392 0.392 0.250
Os 0.608 0.608 0.750
Os 0.000 0.608 0.250
Os 0.392 0.000 0.750
Os 0.000 0.392 0.750
Os 0.608 0.000 0.250

Results
space group = P6_3/mcm, No. 193
DOS(E_F) = 0.892 states/eV per atom
ΔH_f (0 K) = 1.899 eV/atom
total magnetic moment = 0.00 μB per formula unit

---

A geometry-optimized VGaSn2Mo structure. Source: Alexandria via LeMat-Bulk, functional PBE.

Cell: 5.079 4.789 5.079 Å, 90.00 90.00 90.00°
Last column: magnetic moment on the atom in μB.
Positions (direct):
Sn 0.000 0.000 0.500  -0.02
Sn 0.500 0.000 0.000  -0.03
Ga 0.000 0.500 0.000  -0.01
V 0.000 0.000 0.000  0.59
Mo 0.500 0.500 0.500  3.47

Results
space group = P4/mmm, No. 123
DOS(E_F) = 1.080 states/eV per atom
ΔH_f (0 K) = 0.987 eV/atom
total magnetic moment = 4.72 μB per formula unit

---

A geometry-optimized LaSmHoHg structure. Source: Alexandria via LeMat-Bulk, functional PBE.

Cell: 5.542 5.542 5.542 Å, 60.00 60.00 60.00°
Positions (direct):
Hg 0.250 0.250 0.250
Ho 0.750 0.750 0.750
La 0.500 0.500 0.500
Sm 0.000 0.000 0.000

Results
space group = F-43m, No. 216
DOS(E_F) = 1.503 states/eV per atom
ΔH_f (0 K) = -0.083 eV/atom
total magnetic moment = 0.00 μB per formula unit

---

A geometry-optimized LiLaAlPd2 structure. Source: Alexandria via LeMat-Bulk, functional PBE.

Cell: 4.057 4.057 6.602 Å, 107.89 107.89 90.00°
Positions (direct):
Pd 0.617 0.617 0.234
Pd 0.383 0.383 0.766
Al 0.750 0.250 0.500
Li 0.250 0.750 0.500
La 0.000 0.000 0.000

Results
space group = I-4m2, No. 119
DOS(E_F) = 0.349 states/eV per atom
ΔH_f (0 K) = -0.728 eV/atom
total magnetic moment = 0.00 μB per formula unit

---

A geometry-optimized Cu5AgPt2 structure. Source: Alexandria via LeMat-Bulk, functional PBE.

Cell: 3.868 5.324 10.609 Å, 90.00 90.00 90.00°
Positions (direct):
Cu 0.000 0.526 0.255
Cu 0.500 0.739 0.876
Cu 0.000 0.000 0.000
Cu 0.000 0.500 0.500
Cu 0.500 0.261 0.124
Cu 0.000 0.474 0.745
Cu 0.000 0.026 0.245
Cu 0.500 0.239 0.624
Cu 0.000 0.974 0.755
Cu 0.500 0.761 0.376
Pt 0.500 0.273 0.368
Pt 0.500 0.773 0.132
Pt 0.500 0.727 0.632
Pt 0.500 0.227 0.868
Ag 0.000 0.500 0.000
Ag 0.000 0.000 0.500

Results
space group = Pbam, No. 55
DOS(E_F) = 0.345 states/eV per atom
ΔH_f (0 K) = -0.090 eV/atom
total magnetic moment = 0.00 μB per formula unit

---

A geometry-optimized LaCuGePb2 structure. Source: Alexandria via LeMat-Bulk, functional PBE.

Cell: 6.098 5.165 6.098 Å, 90.00 90.00 90.00°
Positions (direct):
Ge 0.500 0.500 0.500
Pb 0.000 0.000 0.500
Pb 0.500 0.000 0.000
Cu 0.000 0.500 0.000
La 0.000 0.000 0.000

Results
space group = P4/mmm, No. 123
DOS(E_F) = 0.842 states/eV per atom
ΔH_f (0 K) = 0.983 eV/atom
total magnetic moment = 0.00 μB per formula unit

---

A geometry-optimized CoTe2Ir structure. Source: Alexandria via LeMat-Bulk, functional PBE.

Cell: 5.555 5.555 5.555 Å, 138.47 138.47 60.19°
Last column: magnetic moment on the atom in μB.
Positions (direct):
Co 0.500 0.500 0.000  1.08
Ir 0.750 0.250 0.500  0.08
Te 0.250 0.750 0.500  0.01
Te 0.000 0.000 0.000  -0.01

Results
space group = I-4m2, No. 119
DOS(E_F) = 1.072 states/eV per atom
total magnetic moment = 1.11 μB per formula unit
formation energy without anion corrections = 615 meV/atom

---

A geometry-optimized GdYRh2 structure. Source: Alexandria via LeMat-Bulk, functional PBE.

Cell: 4.877 4.877 4.877 Å, 60.00 59.99 60.00°
Last column: magnetic moment on the atom in μB.
Positions (direct):
Y 0.750 0.750 0.750  0.01
Rh 0.500 0.500 0.500  -0.06
Rh 0.000 0.000 0.000  -0.06
Gd 0.250 0.250 0.250  7.00

Results
space group = Fm-3m, No. 225
DOS(E_F) = 0.464 states/eV per atom
ΔH_f (0 K) = -0.818 eV/atom
total magnetic moment = 7.02 μB per formula unit

---

A geometry-optimized SbMoBr2 structure. Source: Alexandria via LeMat-Bulk, functional PBE.

Cell: 5.066 5.066 5.066 Å, 60.00 60.00 60.00°
Last column: magnetic moment on the atom in μB.
Positions (direct):
Br 0.750 0.750 0.750  -0.01
Br 0.250 0.250 0.250  -0.01
Sb 0.500 0.500 0.500  -0.17
Mo 0.000 0.000 0.000  2.79

Results
space group = Fm-3m, No. 225
DOS(E_F) = 0.798 states/eV per atom
total magnetic moment = 2.85 μB per formula unit
formation energy without anion corrections = 837 meV/atom

---

A geometry-optimized ScSi2Tc structure. Source: Alexandria via LeMat-Bulk, functional PBE.

Cell: 5.833 4.538 3.119 Å, 84.41 67.47 120.73°
Positions (direct):
Sc 0.500 0.500 0.000
Si 0.500 0.000 0.500
Si 0.000 0.000 0.000
Tc 0.000 0.500 0.500

Results
space group = C2/m, No. 12
DOS(E_F) = 0.491 states/eV per atom
total magnetic moment = 0.00 μB per formula unit
formation energy without anion corrections = -303 meV/atom

---

A geometry-optimized CsNa4Pb structure. Source: Alexandria via LeMat-Bulk, functional PBE.

Cell: 6.829 6.829 6.829 Å, 60.00 60.00 60.00°
Positions (direct):
Na 0.628 0.628 0.628
Na 0.628 0.117 0.628
Na 0.628 0.628 0.117
Na 0.117 0.628 0.628
Pb 0.000 0.000 0.000
Cs 0.250 0.250 0.250

Results
space group = F-43m, No. 216
DOS(E_F) = 0.548 states/eV per atom
ΔH_f (0 K) = 0.009 eV/atom
total magnetic moment = 0.00 μB per formula unit

---

A geometry-optimized Tb2ScAg6 structure. Source: Alexandria via LeMat-Bulk, functional PBE.

Cell: 5.242 5.257 8.403 Å, 71.77 81.12 60.43°
Positions (direct):
Sc 0.000 0.000 0.500
Ag 0.163 0.507 0.825
Ag 0.322 0.343 0.500
Ag 0.837 0.168 0.825
Ag 0.678 0.657 0.500
Ag 0.163 0.832 0.175
Ag 0.837 0.493 0.175
Tb 0.500 0.164 0.172
Tb 0.500 0.836 0.828

Results
space group = C2/m, No. 12
DOS(E_F) = 0.553 states/eV per atom
ΔH_f (0 K) = -0.230 eV/atom
total magnetic moment = 0.00 μB per formula unit